First-principles (PBE-GGA) data for crystalline SrPb2Au at its relaxed geometry, as listed in OQMD.

DFT total energy   -3.41 eV/atom

abc: 5.4303 5.4303 5.4303
angles: 60.00 60.00 60.00
Last column: nearest neighbours and their distance in Å.
Element x y z (fractional)
Pb 0.7500 0.7500 0.7500  4 Au 3.33, 4 Pb 3.33
Pb 0.0000 0.0000 0.0000  4 Sr 3.33, 4 Pb 3.33
Sr 0.2500 0.2500 0.2500  4 Au 3.33, 4 Pb 3.33
Au 0.5000 0.5000 0.5000  4 Sr 3.33, 4 Pb 3.33